A plane-wave DFT calculation with PBE-GGA was carried out for a geometry-optimized Zr2Sc2SiGe structure.

a b c (Å): 4.068 4.068 7.513
angles (deg): 90.00 90.00 90.00
Element x y z (fractional)
Ge 0.000 0.000 0.723
Sc 0.000 0.000 0.349
Sc 0.500 0.500 0.647
Si 0.500 0.500 0.274
Zr 0.500 0.000 0.004
Zr 0.000 0.500 0.004

Summary:
E (eV/cell): -43.7
Space group: P4mm (99)

***

A plane-wave DFT calculation with PBE-GGA was carried out for a geometry-optimized SmScGe2 structure.

a b c (Å): 3.184 6.296 6.296
angles (deg): 54.23 90.00 90.00
Last column: magnetic moment on the atom in μB.
Element x y z (fractional)
Ge 0.000 0.397 0.397  0.00
Ge 0.000 0.614 0.614  0.00
Sc 0.000 0.847 0.847  0.17
Sm 0.000 0.142 0.142  0.02

Summary:
E (eV/cell): -20.0
Space group: Amm2 (38)